1.
Entry from the Alexandria database: Tb3Ag5Te12 after structural relaxation (PBE).

Cell lengths 14.941, 14.941, 14.941 Å; angles 109.47, 109.47, 109.47 degrees
Positions (direct):
Tb (0.125, 0.250, 0.375)
Tb (0.125, 0.375, 0.750)
Tb (0.250, 0.375, 0.125)
Tb (0.250, 0.875, 0.625)
Tb (0.375, 0.125, 0.250)
Tb (0.375, 0.750, 0.125)
Tb (0.625, 0.250, 0.875)
Tb (0.625, 0.875, 0.750)
Tb (0.750, 0.125, 0.375)
Tb (0.750, 0.625, 0.875)
Tb (0.875, 0.625, 0.250)
Tb (0.875, 0.750, 0.625)
Ag (0.000, 0.000, 0.000)
Ag (0.000, 0.000, 0.500)
Ag (0.000, 0.500, 0.000)
Ag (0.000, 0.500, 0.500)
Ag (0.125, 0.750, 0.875)
Ag (0.125, 0.875, 0.250)
Ag (0.250, 0.125, 0.875)
Ag (0.250, 0.625, 0.375)
Ag (0.375, 0.250, 0.625)
Ag (0.375, 0.625, 0.750)
Ag (0.500, 0.000, 0.000)
Ag (0.500, 0.000, 0.500)
Ag (0.500, 0.500, 0.000)
Ag (0.500, 0.500, 0.500)
Ag (0.625, 0.375, 0.250)
Ag (0.625, 0.750, 0.375)
Ag (0.750, 0.375, 0.625)
Ag (0.750, 0.875, 0.125)
Ag (0.875, 0.125, 0.750)
Ag (0.875, 0.250, 0.125)
Te (0.048, 0.219, 0.134)
Te (0.048, 0.330, 0.915)
Te (0.085, 0.634, 0.415)
Te (0.085, 0.719, 0.670)
Te (0.085, 0.866, 0.415)
Te (0.085, 0.952, 0.670)
Te (0.134, 0.048, 0.219)
Te (0.134, 0.585, 0.915)
Te (0.170, 0.219, 0.585)
Te (0.170, 0.452, 0.585)
Te (0.219, 0.134, 0.048)
Te (0.219, 0.585, 0.170)
Te (0.281, 0.330, 0.915)
Te (0.281, 0.452, 0.366)
Te (0.330, 0.915, 0.048)
Te (0.330, 0.915, 0.281)
Te (0.366, 0.281, 0.452)
Te (0.366, 0.585, 0.915)
Te (0.415, 0.085, 0.634)
Te (0.415, 0.085, 0.866)
Te (0.415, 0.830, 0.548)
Te (0.415, 0.830, 0.781)
Te (0.452, 0.366, 0.281)
Te (0.452, 0.585, 0.170)
Te (0.548, 0.415, 0.830)
Te (0.548, 0.634, 0.719)
Te (0.585, 0.170, 0.219)
Te (0.585, 0.170, 0.452)
Te (0.585, 0.915, 0.134)
Te (0.585, 0.915, 0.366)
Te (0.634, 0.415, 0.085)
Te (0.634, 0.719, 0.548)
Te (0.670, 0.085, 0.719)
Te (0.670, 0.085, 0.952)
Te (0.719, 0.548, 0.634)
Te (0.719, 0.670, 0.085)
Te (0.781, 0.415, 0.830)
Te (0.781, 0.866, 0.952)
Te (0.830, 0.548, 0.415)
Te (0.830, 0.781, 0.415)
Te (0.866, 0.415, 0.085)
Te (0.866, 0.952, 0.781)
Te (0.915, 0.048, 0.330)
Te (0.915, 0.134, 0.585)
Te (0.915, 0.281, 0.330)
Te (0.915, 0.366, 0.585)
Te (0.952, 0.670, 0.085)
Te (0.952, 0.781, 0.866)

Summary:
Space-group type = No. 230
Density of states at the Fermi level = 0.88 states/eV/atom
E_form (uncorrected) = -7.81 eV/f.u.

2.
Entry from the Alexandria database: TmPaTiO6 after structural relaxation (PBE).

Cell lengths 5.389, 5.389, 9.474 Å; angles 90.00, 90.00, 120.00 degrees
Positions (direct):
Tm (0.333, 0.667, 0.250)
Tm (0.667, 0.333, 0.750)
Pa (0.000, 0.000, 0.000)
Pa (0.000, 0.000, 0.500)
Ti (0.333, 0.667, 0.750)
Ti (0.667, 0.333, 0.250)
O (0.034, 0.353, 0.633)
O (0.034, 0.681, 0.867)
O (0.319, 0.353, 0.867)
O (0.319, 0.966, 0.633)
O (0.353, 0.034, 0.133)
O (0.353, 0.319, 0.367)
O (0.647, 0.681, 0.633)
O (0.647, 0.966, 0.867)
O (0.681, 0.034, 0.367)
O (0.681, 0.647, 0.133)
O (0.966, 0.319, 0.133)
O (0.966, 0.647, 0.367)

Summary:
Space-group type = No. 163
Density of states at the Fermi level = 0.00 states/eV/atom
E_form (uncorrected) = -30.47 eV/f.u.